No. 1
{
  "formula": "SnGeO2F",
  "functional": "PBE",
  "state": "optimized geometry",
  "mass_density_g_cm3": 5.9,
  "formation_energy_uncorrected_mev_per_atom": -1219,
  "total_energy_ev_per_atom": -5.3010,
  "vol_a3_per_cell": 67.9,
  "lattice_angstrom": [[4.014, 0.000, 0.000], [0.000, 4.014, 0.000], [0.000, 0.000, 4.213]],
  "species": ["O", "O", "F", "Sn", "Ge"],
  "frac_coords": [[0.000, 0.500, 0.000], [0.500, 0.000, 0.000], [0.000, 0.000, 0.500], [0.500, 0.500, 0.500], [0.000, 0.000, 0.000]]
}

No. 2
{
  "formula": "Tb2Ho3ThTe6",
  "functional": "PBE",
  "state": "optimized geometry",
  "mass_density_g_cm3": 8.5,
  "formation_energy_uncorrected_mev_per_atom": -1222,
  "total_energy_ev_per_atom": -5.3270,
  "vol_a3_per_cell": 355.4,
  "lattice_angstrom": [[-3.999, -0.546, 1.523], [3.322, -2.910, 7.678], [1.063, 9.849, 0.213]],
  "species": ["Te", "Te", "Te", "Te", "Te", "Te", "Ho", "Ho", "Ho", "Tb", "Tb", "Th"],
  "frac_coords": [[0.328, 0.925, 0.655], [0.672, 0.075, 0.345], [0.002, 0.739, 0.004], [0.998, 0.261, 0.996], [0.330, 0.422, 0.661], [0.670, 0.578, 0.339], [0.500, 0.500, 0.000], [0.838, 0.175, 0.676], [0.162, 0.825, 0.324], [0.158, 0.314, 0.317], [0.842, 0.686, 0.683], [0.500, 0.000, 0.000]]
}